A relaxed structure of Pm6Co2GeBr3. Source: Alexandria, functional PBE-GGA.

Summary:
The value obtained for the uncorrected energy is -5.217 eV/atom. Its size of the total moment is 0.000 μB/atom. As for the crystal system: monoclinic. As for the formation energy from raw total energies: -854 meV/atom.

a b c (Å): 4.0729 9.0105 9.8046
angles (deg): 109.26 101.99 90.00
Positions (direct):
Pm1 0.3370 0.8653 0.6741
Pm2 0.6800 0.5591 0.3600
Pm3 0.6630 0.1347 0.3259
Pm4 0.0234 0.2433 0.0468
Pm5 0.9766 0.7567 0.9532
Pm6 0.3200 0.4409 0.6400
Co1 0.8290 0.6542 0.6581
Co2 0.1710 0.3458 0.3419
Ge1 0.5000 0.0000 0.0000
Br1 0.5000 0.5000 0.0000
Br2 0.8386 0.1575 0.6772
Br3 0.1614 0.8425 0.3228